! Tb3Nd6Y2Th (PBE-GGA, optimized geometry); values from VASP
! Magnetic moment: 0.0 μB/cell
! Calculated formation energy: 31 meV per atom
! Uncorrected energy: -62.48 eV for the cell shown
&SYSTEM
  ibrav = 0, nat = 12, ntyp = 4
/
ATOMIC_SPECIES
Tb 158.93 Tb.upf
Nd 144.24 Nd.upf
Y 88.91 Y.upf
Th 232.04 Th.upf
CELL_PARAMETERS angstrom
3.144 -5.439 0.000
3.144 5.439 0.000
-2.098 0.000 11.816
ATOMIC_POSITIONS crystal
Tb 0.000 0.000 0.000
Tb 0.333 0.667 0.000
Tb 0.667 0.333 0.000
Nd 0.087 0.416 0.250
Nd 0.255 0.255 0.750
Nd 0.416 0.087 0.250
Nd 0.584 0.913 0.750
Nd 0.745 0.745 0.250
Nd 0.913 0.584 0.750
Y 0.167 0.833 0.500
Y 0.833 0.167 0.500
Th 0.500 0.500 0.500